BaHo2TcN4 | the Alexandria database | PBE | optimized geometry; E_form (uncorrected) = -1.00 eV per atom; VASP energy = -7.84 eV per atom; space-group type = Cmcm, No. 63
1.0
1.737 -6.160 0.000
1.737 6.160 0.000
0.000 0.000 12.068
Ba Ho Tc N
2 4 2 8
direct
0.071 0.929 0.750
0.929 0.071 0.250
0.371 0.629 0.541
0.371 0.629 0.959
0.629 0.371 0.041
0.629 0.371 0.459
0.192 0.808 0.250
0.808 0.192 0.750
0.000 0.000 0.000
0.000 0.000 0.500
0.255 0.745 0.108
0.255 0.745 0.392
0.394 0.606 0.750
0.606 0.394 0.250
0.745 0.255 0.608
0.745 0.255 0.892

ScTiCl6 | the Alexandria database | PBE | optimized geometry; E_form (uncorrected) = -1.75 eV per atom; VASP energy = -4.92 eV per atom; space-group type = R-3, No. 148
1.0
3.165 1.827 5.653
-3.165 1.827 5.653
0.000 -3.654 5.653
Sc Ti Cl
1 1 6
direct
0.000 0.000 0.000
0.500 0.500 0.500
0.115 0.744 0.394
0.256 0.606 0.885
0.394 0.115 0.744
0.606 0.885 0.256
0.744 0.394 0.115
0.885 0.256 0.606

NaTm2OsO8 | the Alexandria database | PBE | optimized geometry; E_form (uncorrected) = -1.98 eV per atom; VASP energy = -7.07 eV per atom; space-group type = P2/m, No. 10
1.0
4.664 0.000 0.000
0.000 6.967 0.000
-0.099 0.000 5.050
Na Tm Os O
1 2 1 8
direct
0.000 0.000 0.000
0.500 0.250 0.500
0.500 0.750 0.500
0.000 0.500 0.000
0.220 0.310 0.846
0.220 0.690 0.846
0.246 0.000 0.399
0.254 0.500 0.303
0.746 0.500 0.697
0.754 0.000 0.601
0.780 0.310 0.154
0.780 0.690 0.154

What is the E_form (uncorrected) in the second record? -1.75 eV per atom

Which of these has the lowest VASP energy? BaHo2TcN4

E_form (uncorrected) of number 3 (NaTm2OsO8)? -1.98 eV per atom